# YMg2Sb2, relaxed, DFT GGA-PBE
# Density = 4.9 Mg/m³
# Raw formation energy = -443 meV/atom
data_YMg2Sb2
_cell_length_a 4.2327
_cell_length_b 4.2327
_cell_length_c 14.4950
_cell_angle_alpha 90.00
_cell_angle_beta 90.00
_cell_angle_gamma 90.00
_space_group_name_H-M_alt 'I 4/m m m'
_space_group_IT_number 139
_space_group_name_Hall '-I 4 2'
loop_
_atom_site_label
_atom_site_type_symbol
_atom_site_fract_x
_atom_site_fract_y
_atom_site_fract_z
Y1 Y 0.0000 0.0000 0.0000
Mg1 Mg 0.0000 0.5000 0.2500
Sb1 Sb 0.0000 0.0000 0.3887